(1)
Material: TcTeRh2
Method: DFT, PBE-GGA
State: relaxed

Unit cell a=3.880 b=4.044 c=8.083 alpha=90.00 beta=90.00 gamma=90.00
Atoms (fractional coordinates):
Tc1 0.000 0.000 0.000
Tc2 0.500 0.500 0.500
Te1 0.000 0.000 0.500
Te2 0.500 0.500 0.000
Rh1 0.000 0.500 0.243
Rh2 0.000 0.500 0.757
Rh3 0.500 0.000 0.257
Rh4 0.500 0.000 0.743

Raw formation energy   0.170 eV per atom

(2)
Material: CaLa3Ir
Method: DFT, PBE-GGA
State: relaxed

Unit cell a=9.992 b=9.992 c=7.234 alpha=100.40 beta=100.40 gamma=91.38
Atoms (fractional coordinates):
Ca1 0.043 0.957 0.750
Ca2 0.456 0.544 0.750
Ca3 0.544 0.456 0.250
Ca4 0.957 0.043 0.250
La1 0.088 0.335 0.723
La2 0.167 0.408 0.278
La3 0.208 0.706 0.989
La4 0.294 0.792 0.511
La5 0.335 0.088 0.223
La6 0.408 0.167 0.778
La7 0.592 0.833 0.222
La8 0.665 0.912 0.777
La9 0.706 0.208 0.489
La10 0.792 0.294 0.011
La11 0.833 0.592 0.722
La12 0.912 0.665 0.277
Ir1 0.110 0.606 0.602
Ir2 0.394 0.890 0.898
Ir3 0.606 0.110 0.102
Ir4 0.890 0.394 0.398

Relative energy among the computed polymorphs   0.30 eV/f.u.
Formation energy from the elements   -0.291 eV per atom

(3)
Material: LiHf2HgN
Method: DFT, PBE-GGA
State: relaxed

Unit cell a=4.413 b=4.413 c=4.145 alpha=90.00 beta=90.00 gamma=90.00
Atoms (fractional coordinates):
Li1 0.000 0.000 0.000
Hf1 0.000 0.500 0.500
Hf2 0.500 0.000 0.500
Hg1 0.500 0.500 0.000
N1 0.000 0.000 0.500

Raw formation energy   -0.726 eV per atom

(4)
Material: Tb4In12Pd
Method: DFT, PBE-GGA
State: relaxed

Unit cell a=8.147 b=8.147 c=8.147 alpha=109.47 beta=109.47 gamma=109.47
Atoms (fractional coordinates):
Tb1 0.000 0.000 0.500
Tb2 0.000 0.500 0.000
Tb3 0.500 0.000 0.000
Tb4 0.500 0.500 0.500
In1 0.000 0.284 0.284
In2 0.000 0.716 0.716
In3 0.250 0.500 0.750
In4 0.250 0.750 0.500
In5 0.284 0.000 0.284
In6 0.284 0.284 0.000
In7 0.500 0.250 0.750
In8 0.500 0.750 0.250
In9 0.716 0.000 0.716
In10 0.716 0.716 0.000
In11 0.750 0.250 0.500
In12 0.750 0.500 0.250
Pd1 0.000 0.000 0.000

Formation energy from the elements   -0.427 eV per atom

(5)
Material: Cs3Pu2ZnSe6
Method: DFT, PBE-GGA
State: relaxed

Unit cell a=7.378 b=7.378 c=8.639 alpha=98.04 beta=98.04 gamma=120.32
Atoms (fractional coordinates):
Cs1 0.000 0.000 0.000
Cs2 0.335 0.665 0.000
Cs3 0.665 0.335 0.000
Pu1 0.167 0.833 0.500
Pu2 0.833 0.167 0.500
Zn1 0.500 0.500 0.500
Se1 0.111 0.441 0.320
Se2 0.236 0.236 0.676
Se3 0.441 0.111 0.320
Se4 0.559 0.889 0.680
Se5 0.764 0.764 0.324
Se6 0.889 0.559 0.680

Raw formation energy   -1.156 eV per atom

(6)
Material: Pu2TlPt
Method: DFT, PBE-GGA
State: relaxed

Unit cell a=3.933 b=3.933 c=25.213 alpha=90.00 beta=90.00 gamma=120.00
Atoms (fractional coordinates):
Pu1 0.000 0.000 0.235
Pu2 0.000 0.000 0.765
Pu3 0.333 0.667 0.432
Pu4 0.333 0.667 0.902
Pu5 0.667 0.333 0.098
Pu6 0.667 0.333 0.568
Tl1 0.000 0.000 0.000
Tl2 0.333 0.667 0.667
Tl3 0.667 0.333 0.333
Pt1 0.000 0.000 0.500
Pt2 0.333 0.667 0.167
Pt3 0.667 0.333 0.833

Relative energy among the computed polymorphs   0.00 eV/f.u.
Formation energy from the elements   -0.289 eV per atom

Asked for M_tot across the records above, the calculation gives 0.0, 0.0, 0.0, 0.0, 9.0, 11.4 μB per formula unit in order.